The following is a PBE calculation of a relaxed Sc2GaAs crystal, from Alexandria via LeMat-Bulk.

Unit cell a=7.310 b=7.310 c=6.305 alpha=90.00 beta=90.00 gamma=90.00
Space group I-42d (No. 122)
Asymmetric unit:
Sc 0.239 0.250 0.125
Ga 0.000 0.000 0.500
As 0.000 0.000 0.000

Values from the calculation:
M_tot: 0.00 μB/cell
ρ: 4.6 g/cm3
DOS at the Fermi energy: 0.5389 states/eV/atom
ΔH_f (0 K): -0.587 eV/atom